# Hf3SnPb

Crystalline Hf3SnPb at its relaxed geometry (PBE-GGA, Alexandria via LeMat-Bulk).

Computed properties:
The value obtained for the distance to the lowest polymorph of the same formula is 0 meV per atom. As for the space-group type: C2/c, No. 15. As for the energy of formation: -99 meV/atom.

Unit cell a=8.240 b=8.240 c=10.568 alpha=100.67 beta=100.67 gamma=40.24
Element x y z (fractional)
Hf (0.073, 0.126, 0.772)
Hf (0.126, 0.073, 0.272)
Hf (0.186, 0.699, 0.985)
Hf (0.252, 0.342, 0.735)
Hf (0.301, 0.814, 0.515)
Hf (0.342, 0.252, 0.235)
Hf (0.658, 0.748, 0.765)
Hf (0.699, 0.186, 0.485)
Hf (0.748, 0.658, 0.265)
Hf (0.814, 0.301, 0.015)
Hf (0.874, 0.927, 0.728)
Hf (0.927, 0.874, 0.228)
Sn (0.000, 0.500, 0.000)
Sn (0.481, 0.519, 0.750)
Sn (0.500, 0.000, 0.500)
Sn (0.519, 0.481, 0.250)
Pb (0.110, 0.604, 0.480)
Pb (0.396, 0.890, 0.020)
Pb (0.604, 0.110, 0.980)
Pb (0.890, 0.396, 0.520)